VASP calculation (GGA-PBE) on crystalline Sm2Se3O9 at its relaxed geometry.

Summary:
D(E_F), states/eV/f.u.: 0.0
Magnetization, μB/f.u.: 0.000
Formation energy (no corrections), eV/atom: -1.8675

abc: 7.0897 8.0538 9.2419
angles: 69.70 76.37 64.26
Space group P-1 (No. 2)
Asymmetric unit:
Sm 0.1259 0.3511 0.3252 x2
Sm 0.2706 0.6887 0.8716 x2
Se 0.0497 0.8232 0.2519 x2
Se 0.3092 0.2368 0.9658 x2
Se 0.3653 0.7844 0.4919 x2
O 0.0328 0.3351 0.5922 x2
O 0.1067 0.2259 0.1094 x2
O 0.1369 0.7911 0.6185 x2
O 0.1721 0.6607 0.1423 x2
O 0.1733 0.0180 0.8371 x2
O 0.2045 0.4382 0.8174 x2
O 0.3283 0.0168 0.4156 x2
O 0.4071 0.3460 0.0502 x2
O 0.4712 0.3135 0.3569 x2